! HWNO2, relaxed, DFT PBE+U; values from VASP
&SYSTEM
  ibrav = 0, nat = 5, ntyp = 4
/
ATOMIC_SPECIES
H 1.01 H.upf
O 16.00 O.upf
W 183.84 W.upf
N 14.01 N.upf
ATOMIC_POSITIONS angstrom
H 0.000 0.000 0.000
O 0.000 1.517 0.000
O 1.517 0.000 0.000
W 1.517 1.517 2.075
N 0.000 0.000 2.075
CELL_PARAMETERS angstrom
3.035 0.000 0.000
0.000 3.035 0.000
0.000 0.000 4.150
! E_tot: -0.3739 Ry/atom
! Magnetic moment: 0.2 μB per cell
! DOS at the Fermi energy: 2.15 states/eV per cell
! Crystal system: tetragonal